No. 1
DFT (GGA-PBE) results for a geometry-optimized PaCoPb structure.

Unit cell a=4.8359 b=4.8359 c=4.8359 alpha=60.00 beta=60.00 gamma=60.00
With the nearest neighbours (Å) after each atom.
Fractional positions:
1 Pa 0.0000 0.0000 0.0000  4 Pb 2.96, 4 Co 2.96
2 Co 0.7500 0.7500 0.7500  4 Pa 2.96
3 Pb 0.2500 0.2500 0.2500  4 Pa 2.96

No. 2
DFT (GGA-PBE) results for a geometry-optimized KHg3Pt structure.

Unit cell a=5.3851 b=5.3851 c=5.3851 alpha=90.00 beta=90.00 gamma=90.00
With the nearest neighbours (Å) after each atom.
Fractional positions:
1 K 0.0000 0.0000 0.0000  12 Hg 3.81
2 Hg 0.0000 0.5000 0.5000  2 Pt 2.69
3 Hg 0.5000 0.0000 0.5000  2 Pt 2.69
4 Hg 0.5000 0.5000 0.0000  2 Pt 2.69
5 Pt 0.5000 0.5000 0.5000  6 Hg 2.69

No. 3
DFT (GGA-PBE) results for a geometry-optimized ZnH3CNO3 structure.

Unit cell a=9.1426 b=7.4938 c=5.2873 alpha=90.00 beta=90.00 gamma=90.00
With the nearest neighbours (Å) after each atom.
Fractional positions:
1 Zn 0.1493 0.1767 0.0000  3 O 1.96-2.00, 1 N 1.99
2 Zn 0.3507 0.6767 0.5000  3 O 1.96-2.00, 1 N 1.99
3 Zn 0.6493 0.3233 0.0000  3 O 1.96-2.00, 1 N 1.99
4 Zn 0.8507 0.8233 0.5000  3 O 1.96-2.00, 1 N 1.99
5 H 0.0418 0.6449 0.7106  1 N 1.03
6 H 0.0698 0.2756 0.4345  1 N 1.03
7 H 0.1104 0.4632 0.2809  1 N 1.03
8 H 0.3896 0.9632 0.7809  1 N 1.03
9 H 0.4302 0.7756 0.9345  1 N 1.03
10 H 0.4582 0.1449 0.2106  1 N 1.03
11 H 0.5418 0.8551 0.7106  1 N 1.03
12 H 0.5698 0.2244 0.4345  1 N 1.03
13 H 0.6104 0.0368 0.2809  1 N 1.03
14 H 0.8896 0.5368 0.7809  1 N 1.03
15 H 0.9302 0.7244 0.9345  1 N 1.03
16 H 0.9582 0.3551 0.2106  1 N 1.03
17 C 0.1180 0.8519 0.2517  3 O 1.28-1.30
18 C 0.3820 0.3519 0.7517  3 O 1.28-1.30
19 C 0.6180 0.6481 0.2517  3 O 1.28-1.30
20 C 0.8820 0.1481 0.7517  3 O 1.28-1.30
21 N 0.0657 0.3377 0.2607  3 H 1.03
22 N 0.4343 0.8377 0.7607  3 H 1.03
23 N 0.5657 0.1623 0.2607  3 H 1.03
24 N 0.9343 0.6623 0.7607  3 H 1.03
25 O 0.0191 0.1073 0.7175  1 C 1.30
26 O 0.1512 0.7044 0.3677  1 C 1.30
27 O 0.2204 0.9538 0.1697  1 C 1.28
28 O 0.2796 0.4538 0.6697  1 C 1.28
29 O 0.3488 0.2044 0.8677  1 C 1.30
30 O 0.4809 0.6073 0.2175  1 C 1.30
31 O 0.5191 0.3927 0.7175  1 C 1.30
32 O 0.6512 0.7956 0.3677  1 C 1.30
33 O 0.7204 0.5462 0.1697  1 C 1.28
34 O 0.7796 0.0462 0.6697  1 C 1.28
35 O 0.8488 0.2956 0.8677  1 C 1.30
36 O 0.9809 0.8927 0.2175  1 C 1.30

Energy above the most stable polymorph in this dataset, meV per atom: 0

No. 4
DFT (GGA-PBE) results for a geometry-optimized TmTlPO structure.

Unit cell a=5.6139 b=5.6139 c=4.9503 alpha=90.00 beta=90.00 gamma=90.00
With the nearest neighbours (Å) after each atom.
Fractional positions:
1 Tm 0.2500 0.7500 0.0000  2 O 2.48
2 Tm 0.7500 0.2500 0.0000  2 O 2.48
3 Tl 0.2500 0.2500 0.4935  2 P 2.47-2.48
4 Tl 0.7500 0.7500 0.5065  2 P 2.47-2.48
5 P 0.2500 0.2500 0.9929  2 Tl 2.47-2.48
6 P 0.7500 0.7500 0.0071  2 Tl 2.47-2.48
7 O 0.2500 0.7500 0.5000  2 Tm 2.48
8 O 0.7500 0.2500 0.5000  2 Tm 2.48

Energy above the most stable polymorph in this dataset, meV per atom: 171

No. 5
DFT (GGA-PBE) results for a geometry-optimized BaNdPb2O6 structure.

Unit cell a=4.2902 b=4.2902 c=8.6930 alpha=90.00 beta=90.00 gamma=90.00
With the nearest neighbours (Å) after each atom.
Fractional positions:
1 Ba 0.0000 0.0000 0.0000  12 O 3.03-3.29
2 Nd 0.0000 0.0000 0.5000  12 O 2.83-3.03
3 Pb 0.5000 0.5000 0.2548  6 O 2.13-2.22
4 Pb 0.5000 0.5000 0.7452  6 O 2.13-2.22
5 O 0.0000 0.5000 0.2876  2 Pb 2.16
6 O 0.0000 0.5000 0.7124  2 Pb 2.16
7 O 0.5000 0.0000 0.2876  2 Pb 2.16
8 O 0.5000 0.0000 0.7124  2 Pb 2.16
9 O 0.5000 0.5000 0.0000  2 Pb 2.22
10 O 0.5000 0.5000 0.5000  2 Pb 2.13

No. 6
DFT (GGA-PBE) results for a geometry-optimized Zr2Nb4Zn3N3 structure.

Unit cell a=5.4674 b=5.4674 c=14.0121 alpha=101.21 beta=101.21 gamma=60.12
With the nearest neighbours (Å) after each atom.
Fractional positions:
1 Zr 0.0360 0.8728 0.6098  3 N 2.29-2.37
2 Zr 0.1272 0.9640 0.8902  3 N 2.29-2.37
3 Zr 0.8728 0.0360 0.1098  3 N 2.29-2.37
4 Zr 0.9640 0.1272 0.3902  3 N 2.29-2.37
5 Nb 0.1928 0.3576 0.0809  3 N 2.12-2.21
6 Nb 0.3049 0.4760 0.4192  3 N 2.12-2.21
7 Nb 0.3576 0.1928 0.5809  3 N 2.12-2.21
8 Nb 0.4760 0.3049 0.9192  3 N 2.12-2.21
9 Nb 0.5240 0.6951 0.0808  3 N 2.12-2.21
10 Nb 0.6424 0.8072 0.4191  3 N 2.12-2.21
11 Nb 0.6951 0.5240 0.5808  3 N 2.12-2.21
12 Nb 0.8072 0.6424 0.9191  3 N 2.12-2.21
13 Zn 0.0833 0.3803 0.7502  4 Zn 2.75-2.76, 4 Nb 2.80-2.81
14 Zn 0.3803 0.0833 0.2502  4 Zn 2.75-2.76, 4 Nb 2.80-2.81
15 Zn 0.4538 0.5462 0.2500  4 Zn 2.75-2.76, 4 Nb 2.80-2.81
16 Zn 0.5462 0.4538 0.7500  4 Zn 2.75-2.76, 4 Nb 2.80-2.81
17 Zn 0.6197 0.9167 0.7498  4 Zn 2.75-2.76, 4 Nb 2.80-2.81
18 Zn 0.9167 0.6197 0.2498  4 Zn 2.75-2.76, 4 Nb 2.80-2.81
19 N 0.0000 0.5000 0.5000  4 Nb 2.13, 2 Zr 2.37
20 N 0.1568 0.6861 0.0000  4 Nb 2.12-2.21, 2 Zr 2.29-2.30
21 N 0.3139 0.8432 0.5000  4 Nb 2.12-2.21, 2 Zr 2.29-2.30
22 N 0.5000 0.0000 0.0000  4 Nb 2.13, 2 Zr 2.37
23 N 0.6861 0.1568 0.5000  4 Nb 2.12-2.21, 2 Zr 2.29-2.30
24 N 0.8432 0.3139 0.0000  4 Nb 2.12-2.21, 2 Zr 2.29-2.30

No. 7
DFT (GGA-PBE) results for a geometry-optimized TbHoNi structure.

Unit cell a=4.7269 b=4.7269 c=4.7269 alpha=60.00 beta=60.00 gamma=60.00
With the nearest neighbours (Å) after each atom.
Fractional positions:
1 Tb 0.0000 0.0000 0.0000  4 Ni 2.89
2 Ho 0.5000 0.5000 0.5000  4 Ni 2.89
3 Ni 0.7500 0.7500 0.7500  4 Tb 2.89, 4 Ho 2.89

E_form, eV per atom: -0.158

No. 8
DFT (GGA-PBE) results for a geometry-optimized TaAlCoCu structure.

Unit cell a=4.2405 b=4.2405 c=4.2405 alpha=60.00 beta=60.00 gamma=60.00
With the nearest neighbours (Å) after each atom.
Fractional positions:
1 Ta 0.0000 0.0000 0.0000  4 Co 2.60, 4 Cu 2.60
2 Al 0.5000 0.5000 0.5000  4 Co 2.60, 4 Cu 2.60
3 Co 0.7500 0.7500 0.7500  4 Ta 2.60, 4 Al 2.60
4 Cu 0.2500 0.2500 0.2500  4 Al 2.60, 4 Ta 2.60

Energy above the most stable polymorph in this dataset, meV per atom: 0

Let's list energy in order: -17.73; -9.39; -52.71; -21.74; -60.67; -95.06; -15.25; -27.55 eV/f.u..